## PaAg2MoO8 (PBE+U)

Data for a geometry-optimized PaAg2MoO8 structure.

Output
M_tot   3.00 μB/f.u.
Raw total energy   -6.186 eV/atom

Unit cell a=6.2727 b=6.2727 c=5.8632 alpha=90.00 beta=90.00 gamma=120.00
Space group P-3m1 (No. 164)
Inequivalent atoms, fractional coordinates:
Pa: 0.0000 0.0000 0.0000
Ag: 0.3333 0.6667 0.5648
Mo: 0.0000 0.0000 0.5000
O: 0.1369 0.2738 0.7196
O: 0.3333 0.6667 0.2130